Compound: Li2AlTc
Source: the Alexandria database
Functional: PBE-GGA
Structure: relaxed

Cell lengths 9.5840, 9.5840, 9.5840 Å; angles 16.23, 16.23, 16.23 degrees
Fractional coordinates of all 4 atoms:
Li1 0.9973 0.9973 0.9973
Li2 0.5027 0.5027 0.5027
Tc1 0.2500 0.2500 0.2500
Al1 0.7500 0.7500 0.7500

## Properties
M_tot: 0.77 Bohr magnetons per cell
ΔH_f (0 K): 0.19 eV/atom



Compound: LaMo2Ir
Source: the Alexandria database
Functional: PBE-GGA
Structure: relaxed

Cell lengths 10.2548, 10.2548, 10.2548 Å; angles 16.24, 16.24, 16.24 degrees
Fractional coordinates of all 4 atoms:
Mo1 0.2459 0.2459 0.2459
Mo2 0.9908 0.9908 0.9908
Ir1 0.5110 0.5110 0.5110
La1 0.7523 0.7523 0.7523

## Properties
M_tot: 0.00 Bohr magnetons per cell
Energy relative to the lowest polymorph listed for this composition: 327.0 meV per atom
ΔH_f (0 K): 0.47 eV/atom



Compound: LaWN4
Source: the Alexandria database
Functional: PBE-GGA
Structure: relaxed

Cell lengths 5.5282, 5.5282, 7.1792 Å; angles 112.64, 112.64, 90.00 degrees
Fractional coordinates of all 12 atoms:
N1 0.1730 0.2628 0.8294
N2 0.0937 0.6835 0.6706
N3 0.0128 0.9063 0.3294
N4 0.7372 0.3437 0.1706
N5 0.3165 0.4230 0.3294
N6 0.5770 0.9872 0.6706
N7 0.4335 0.8270 0.1706
N8 0.6563 0.5665 0.8294
La1 0.7500 0.2500 0.5000
La2 0.0000 0.0000 0.0000
W1 0.2500 0.7500 0.5000
W2 0.5000 0.5000 0.0000

## Properties
M_tot: 6.01 Bohr magnetons per cell
Uncorrected formation energy: -1.4 kcal/mol of atoms



Let's list total energy in order: -4.294; -8.392; -8.591 eV/atom.
Let's list Fermi-level density of states in order: 3.4; 4.7; 5.2 states/eV/cell.